{"formula": "CdP2H2", "functional": "GGA-PBE", "state": "optimized geometry", "dft_energy_ev_per_cell": -18.6, "relative_energy_mev_per_atom": 20, "cell": [[4.3612, 0.0000, 0.0000], [-2.1513, 3.8393, 0.0000], [-0.5812, -2.1282, 5.2877]], "species": ["Cd", "P", "P", "H", "H"], "frac_coords": [[0.0000, 0.0000, 0.0000], [0.7108, 0.3931, 0.1026], [0.8893, 0.5485, 0.5141], [0.2442, 0.6006, 0.5513], [0.7156, 0.1877, 0.5325]]}

=====

{"formula": "CdPH3", "functional": "GGA-PBE", "state": "optimized geometry", "dft_energy_ev_per_cell": -11.1, "relative_energy_mev_per_atom": 1014, "cell": [[3.8215, 0.0000, 0.0000], [0.0000, 3.8215, 0.0000], [0.0000, 0.0000, 3.8215]], "species": ["Cd", "P", "H", "H", "H"], "frac_coords": [[0.0000, 0.0000, 0.0000], [0.5000, 0.5000, 0.5000], [0.0000, 0.0000, 0.5000], [0.0000, 0.5000, 0.0000], [0.5000, 0.0000, 0.0000]]}

=====

{"formula": "CdP2H2", "functional": "GGA-PBE", "state": "optimized geometry", "dft_energy_ev_per_cell": -17.8, "relative_energy_mev_per_atom": 189, "cell": [[3.3052, 0.0000, 0.0000], [-0.0850, 4.9221, 0.0000], [-1.5783, -2.3976, 4.9926]], "species": ["Cd", "P", "P", "H", "H"], "frac_coords": [[0.0000, 0.0000, 0.0000], [0.2593, 0.4089, 0.5126], [0.8809, 0.3966, 0.7673], [0.5763, 0.7495, 0.3680], [0.7411, 0.7941, 0.3151]]}

=====

{"formula": "CdP2H2", "functional": "GGA-PBE", "state": "optimized geometry", "dft_energy_ev_per_cell": -18.2, "relative_energy_mev_per_atom": 105, "cell": [[4.2150, 0.0000, 0.0000], [-1.4518, 4.1371, 0.0000], [-0.7614, -1.9805, 5.1667]], "species": ["Cd", "P", "P", "H", "H"], "frac_coords": [[0.0000, 0.0000, 0.0000], [0.0091, 0.5514, 0.3171], [0.9909, 0.4486, 0.6829], [0.3814, 0.6895, 0.3711], [0.6186, 0.3105, 0.6289]]}

=====

{"formula": "CdPH3", "functional": "GGA-PBE", "state": "optimized geometry", "dft_energy_ev_per_cell": -32.3, "relative_energy_mev_per_atom": 0, "cell": [[4.1152, 0.0000, 0.0000], [0.0000, 9.9703, 0.0000], [-4.1126, 0.0000, 4.2231]], "species": ["Cd", "Cd", "P", "P", "H", "H", "H", "H", "H", "H"], "frac_coords": [[0.0000, 0.0024, 0.0000], [0.0000, 0.9976, 0.5000], [0.0677, 0.3060, 0.0713], [0.0677, 0.6940, 0.5713], [0.0086, 0.3608, 0.2641], [0.0086, 0.6392, 0.7641], [0.5125, 0.3607, 0.2650], [0.5125, 0.6393, 0.7650], [0.8576, 0.4186, 0.8601], [0.8576, 0.5814, 0.3601]]}

=====

{"formula": "CdP2H2", "functional": "GGA-PBE", "state": "optimized geometry", "dft_energy_ev_per_cell": -17.9, "relative_energy_mev_per_atom": 160, "cell": [[3.2827, 0.0000, 0.0000], [0.0318, 5.0370, 0.0000], [1.5517, 0.4152, 5.4439]], "species": ["Cd", "P", "P", "H", "H"], "frac_coords": [[0.0000, 0.0000, 0.0000], [0.3163, 0.4453, 0.3671], [0.7203, 0.6398, 0.5672], [0.2508, 0.1945, 0.5125], [0.6178, 0.4624, 0.7875]]}

=====

{"formula": "Cd3PH", "functional": "GGA-PBE", "state": "optimized geometry", "dft_energy_ev_per_cell": -9.4, "relative_energy_mev_per_atom": 0, "cell": [[4.4841, 0.0000, 0.0000], [0.0000, 4.4841, 0.0000], [0.0000, 0.0000, 4.4841]], "species": ["Cd", "Cd", "Cd", "P", "H"], "frac_coords": [[0.0000, 0.0000, 0.5000], [0.0000, 0.5000, 0.0000], [0.5000, 0.0000, 0.0000], [0.5000, 0.5000, 0.5000], [0.0000, 0.0000, 0.0000]]}

=====

{"formula": "CdP2H", "functional": "GGA-PBE", "state": "optimized geometry", "dft_energy_ev_per_cell": -26.6, "relative_energy_mev_per_atom": 0, "cell": [[-2.1837, 2.1837, 6.7135], [2.1837, -2.1837, 6.7135], [2.1837, 2.1837, -6.7135]], "species": ["Cd", "Cd", "P", "P", "P", "P", "H", "H"], "frac_coords": [[0.0000, 0.0000, 0.0000], [0.7500, 0.2500, 0.5000], [0.2708, 0.6250, 0.1458], [0.3750, 0.5208, 0.6458], [0.4792, 0.1250, 0.8542], [0.8750, 0.7292, 0.3542], [0.2500, 0.7500, 0.5000], [0.5000, 0.5000, 0.0000]]}

=====

{"formula": "CdP2H2", "functional": "GGA-PBE", "state": "optimized geometry", "dft_energy_ev_per_cell": -17.5, "relative_energy_mev_per_atom": 241, "cell": [[3.7004, -4.2095, 0.0000], [3.7004, 4.2095, 0.0000], [-0.9590, 0.0000, 2.5887]], "species": ["Cd", "P", "P", "H", "H"], "frac_coords": [[0.0000, 0.0000, 0.0000], [0.3283, 0.5911, 0.0658], [0.5911, 0.3283, 0.0658], [0.5128, 0.8174, 0.2622], [0.8174, 0.5128, 0.2622]]}

=====

{"formula": "CdPH3", "functional": "GGA-PBE", "state": "optimized geometry", "dft_energy_ev_per_cell": -13.6, "relative_energy_mev_per_atom": 511, "cell": [[3.6946, 0.0000, 0.0000], [0.0000, 3.6946, 0.0000], [0.0000, 0.0000, 3.6946]], "species": ["Cd", "P", "H", "H", "H"], "frac_coords": [[0.0000, 0.0000, 0.0000], [0.5000, 0.5000, 0.5000], [0.0000, 0.5000, 0.5000], [0.5000, 0.0000, 0.5000], [0.5000, 0.5000, 0.0000]]}

=====

{"formula": "CdP2H", "functional": "GGA-PBE", "state": "optimized geometry", "dft_energy_ev_per_cell": -11.3, "relative_energy_mev_per_atom": 500, "cell": [[0.0000, 3.1249, 3.1249], [3.1249, 0.0000, 3.1249], [3.1249, 3.1249, 0.0000]], "species": ["Cd", "P", "P", "H"], "frac_coords": [[0.0000, 0.0000, 0.0000], [0.2500, 0.2500, 0.2500], [0.7500, 0.7500, 0.7500], [0.5000, 0.5000, 0.5000]]}

=====

{"formula": "CdP2H2", "functional": "GGA-PBE", "state": "optimized geometry", "dft_energy_ev_per_cell": -17.7, "relative_energy_mev_per_atom": 198, "cell": [[3.7280, -1.3611, 0.0000], [3.7280, 1.3611, 0.0000], [-1.5100, 0.0000, 8.1224]], "species": ["Cd", "P", "P", "H", "H"], "frac_coords": [[0.0000, 0.0000, 0.0000], [0.0339, 0.0339, 0.6360], [0.9661, 0.9661, 0.3640], [0.2275, 0.2275, 0.6434], [0.7725, 0.7725, 0.3566]]}